Ti2Be2Mo | PBE | relaxed

Summary:
The offset from the most stable computed form is 215 meV/atom. As for the energy of formation: 0.14 eV/atom. The space group is I4/mmm.

Lattice parameters (Å, degrees): 3.4590 3.4590 10.8981 90.00 90.00 90.00
With the nearest neighbours (Å) after each atom.
Atoms (fractional coordinates):
Ti 0.0000 0.5000 0.2500  4 Ti 2.45, 4 Be 2.47
Ti 0.0000 0.5000 0.7500  4 Ti 2.45, 4 Be 2.47
Ti 0.5000 0.0000 0.2500  4 Ti 2.45, 4 Be 2.47
Ti 0.5000 0.0000 0.7500  4 Ti 2.45, 4 Be 2.47
Be 0.0000 0.0000 0.0876  1 Be 1.91
Be 0.0000 0.0000 0.9124  1 Be 1.91
Be 0.5000 0.5000 0.4124  1 Be 1.91
Be 0.5000 0.5000 0.5876  1 Be 1.91
Mo 0.0000 0.0000 0.5000  8 Be 2.63
Mo 0.5000 0.5000 0.0000  8 Be 2.63

---

TiBe3Mo | PBE | relaxed

Summary:
The offset from the most stable computed form is 0 meV/atom. As for the energy of formation: 0.90 eV/atom. The space group is Pm-3m.

Lattice parameters (Å, degrees): 4.1716 4.1716 4.1716 90.00 90.00 90.00
With the nearest neighbours (Å) after each atom.
Atoms (fractional coordinates):
Ti 0.0000 0.0000 0.0000  12 Be 2.95
Be 0.0000 0.5000 0.5000  2 Mo 2.09
Be 0.5000 0.0000 0.5000  2 Mo 2.09
Be 0.5000 0.5000 0.0000  2 Mo 2.09
Mo 0.5000 0.5000 0.5000  6 Be 2.09

---

TiBeMo2 | PBE | relaxed

Summary:
As for the energy of formation: 0.42 eV/atom. The space group is I-42d.

Lattice parameters (Å, degrees): 6.9134 6.9134 4.9783 90.00 90.00 90.00
With the nearest neighbours (Å) after each atom.
Atoms (fractional coordinates):
Ti 0.0000 0.0000 0.0000  2 Be 2.49, 4 Mo 2.72
Ti 0.0000 0.5000 0.2500  2 Be 2.49, 4 Mo 2.72
Ti 0.5000 0.0000 0.7500  2 Be 2.49, 4 Mo 2.72
Ti 0.5000 0.5000 0.5000  2 Be 2.49, 4 Mo 2.72
Be 0.0000 0.0000 0.5000  4 Mo 2.34, 2 Ti 2.49
Be 0.0000 0.5000 0.7500  4 Mo 2.34, 2 Ti 2.49
Be 0.5000 0.0000 0.2500  4 Mo 2.34, 2 Ti 2.49
Be 0.5000 0.5000 0.0000  4 Mo 2.34, 2 Ti 2.49
Mo 0.2106 0.2500 0.6250  2 Be 2.34, 2 Mo 2.55
Mo 0.2500 0.7106 0.8750  2 Be 2.34, 2 Mo 2.55
Mo 0.2500 0.7894 0.3750  2 Be 2.34, 2 Mo 2.55
Mo 0.2894 0.2500 0.1250  2 Be 2.34, 2 Mo 2.55
Mo 0.7106 0.7500 0.1250  2 Be 2.34, 2 Mo 2.55
Mo 0.7500 0.2106 0.3750  2 Be 2.34, 2 Mo 2.55
Mo 0.7500 0.2894 0.8750  2 Be 2.34, 2 Mo 2.55
Mo 0.7894 0.7500 0.6250  2 Be 2.34, 2 Mo 2.55